# 1
First-principles (PBE) data for an optimized crystal structure of La3CeRh2, as listed in Alexandria.

Computed properties:
DOS at the Fermi energy: 39.573 states/eV/cell
calculated formation energy: -470 meV/atom

Cell lengths 6.945, 13.932, 7.484 Å; angles 90.00, 90.00, 90.00 degrees
Space group Ibam (No. 72)
Symmetry-distinct sites (fractional):
La (0.000, 0.000, 0.250) (multiplicity 4)
La (0.000, 0.268, 0.250) (multiplicity 8)
Ce (0.000, 0.500, 0.000) (multiplicity 4)
Rh (0.230, 0.128, 0.000) (multiplicity 8)

***

# 2
First-principles (PBE) data for an optimized crystal structure of CaYSc4Se8, as listed in Alexandria.

Computed properties:
formation energy without anion corrections: -161.8 kJ/mol of atoms
DOS at the Fermi energy: 18.311 states/eV/cell

Cell lengths 8.0975, 8.0975, 20.2922 Å; angles 90.00, 90.00, 120.00 degrees
Space group R3m (No. 160, hexagonal axes)
Symmetry-distinct sites (fractional):
Ca (0.0000, 0.0000, 0.0000) (multiplicity 3)
Y (0.0000, 0.0000, 0.3695) (multiplicity 3)
Sc (0.0000, 0.0000, 0.7442) (multiplicity 3)
Sc (0.0042, 0.5021, 0.8718) (multiplicity 9)
Se (0.0000, 0.0000, 0.1358) (multiplicity 3)
Se (0.0000, 0.0000, 0.6132) (multiplicity 3)
Se (0.0117, 0.5059, 0.1264) (multiplicity 9)
Se (0.1797, 0.3594, 0.9457) (multiplicity 9)

***

# 3
First-principles (PBE) data for an optimized crystal structure of Al2Bi2Sb, as listed in Alexandria.

Computed properties:
formation energy without anion corrections: 25.8 kJ/mol of atoms
DOS at the Fermi energy: 5.091 states/eV/cell
excess energy over the best structure of this formula in the dataset: 0.237 eV per formula unit

Cell lengths 9.028, 9.028, 3.362 Å; angles 90.00, 90.00, 90.00 degrees
Space group P4/mbm (No. 127)
Symmetry-distinct sites (fractional):
Al (0.108, 0.392, 0.000) (multiplicity 4)
Bi (0.187, 0.687, 0.500) (multiplicity 4)
Sb (0.000, 0.000, 0.500) (multiplicity 2)

***

# 4
First-principles (PBE) data for an optimized crystal structure of LiScIr2, as listed in Alexandria.

Computed properties:
DOS at the Fermi energy: 4.550 states/eV/cell
calculated formation energy: -436 meV/atom

Cell lengths 8.643, 2.910, 4.914 Å; angles 90.00, 101.70, 90.00 degrees
Space group C2/m (No. 12)
Symmetry-distinct sites (fractional):
Li (0.000, 0.000, 0.000) (multiplicity 2)
Sc (0.000, 0.500, 0.500) (multiplicity 2)
Ir (0.249, 0.500, 0.229) (multiplicity 4)

***

# 5
First-principles (PBE) data for an optimized crystal structure of AlPd3Pt4, as listed in Alexandria.

Computed properties:
DOS at the Fermi energy: 18.661 states/eV/cell
calculated formation energy: -199 meV/atom
excess energy over the best structure of this formula in the dataset: 1.382 eV per formula unit

Cell lengths 5.374, 8.777, 5.361 Å; angles 90.00, 90.00, 90.00 degrees
Space group Imm2 (No. 44)
Symmetry-distinct sites (fractional):
Al (0.000, 0.000, 0.000) (multiplicity 2)
Pd (0.000, 0.242, 0.763) (multiplicity 4)
Pd (0.000, 0.500, 0.503) (multiplicity 2)
Pt (0.000, 0.233, 0.258) (multiplicity 4)
Pt (0.246, 0.500, 0.016) (multiplicity 4)

***

# 6
First-principles (PBE) data for an optimized crystal structure of H2Rh2I, as listed in Alexandria.

Computed properties:
DOS at the Fermi energy: 7.577 states/eV/cell
excess energy over the best structure of this formula in the dataset: 1.480 eV per formula unit

Cell lengths 6.186, 6.186, 3.276 Å; angles 90.00, 90.00, 90.00 degrees
Space group P4/mbm (No. 127)
Symmetry-distinct sites (fractional):
H (0.051, 0.449, 0.000) (multiplicity 4)
Rh (0.159, 0.659, 0.500) (multiplicity 4)
I (0.000, 0.000, 0.000) (multiplicity 2)

***

# 7
First-principles (PBE) data for an optimized crystal structure of BeRe3Ir, as listed in Alexandria.

Computed properties:
DOS at the Fermi energy: 6.599 states/eV/cell
calculated formation energy: 2538 meV/atom
excess energy over the best structure of this formula in the dataset: 9.701 eV per formula unit

Cell lengths 4.703, 4.703, 4.703 Å; angles 90.00, 90.00, 90.00 degrees
Space group Pm-3m (No. 221)
Symmetry-distinct sites (fractional):
Be (0.000, 0.000, 0.000) (multiplicity 1)
Re (0.000, 0.500, 0.500) (multiplicity 3)
Ir (0.500, 0.500, 0.500) (multiplicity 1)

***

# 8
First-principles (PBE) data for an optimized crystal structure of HfPaB, as listed in Alexandria.

Computed properties:
DOS at the Fermi energy: 29.117 states/eV/cell
calculated formation energy: -98 meV/atom

Cell lengths 5.9438, 5.9438, 16.7520 Å; angles 90.00, 90.00, 120.00 degrees
Space group R3 (No. 146, hexagonal axes)
Symmetry-distinct sites (fractional):
Hf (0.0039, 0.6447, 0.0000) (multiplicity 9)
Pa (0.0157, 0.3371, 0.8346) (multiplicity 9)
B (0.0000, 0.0000, 0.0577) (multiplicity 3)
B (0.0000, 0.0000, 0.5852) (multiplicity 3)
B (0.0000, 0.0000, 0.9409) (multiplicity 3)

***

# 9
First-principles (PBE) data for an optimized crystal structure of In2Hg3H2, as listed in Alexandria.

Computed properties:
DOS at the Fermi energy: 1.100 states/eV/cell

Cell lengths 3.225, 5.545, 9.019 Å; angles 74.02, 86.21, 76.92 degrees
Space group P-1 (No. 2)
Symmetry-distinct sites (fractional):
In (0.100, 0.159, 0.313) (multiplicity 2)
Hg (0.229, 0.158, 0.859) (multiplicity 2)
Hg (0.500, 0.500, 0.500) (multiplicity 1)
H (0.027, 0.509, 0.847) (multiplicity 2)

***

# 10
First-principles (PBE) data for an optimized crystal structure of LiDyTh2S5, as listed in Alexandria.

Computed properties:
formation energy without anion corrections: -175.6 kJ/mol of atoms
DOS at the Fermi energy: 18.622 states/eV/cell

Cell lengths 3.904, 16.420, 11.951 Å; angles 90.00, 90.00, 90.00 degrees
Space group Cmc2_1 (No. 36)
Symmetry-distinct sites (fractional):
Li (0.000, 0.011, 0.000) (multiplicity 4)
Dy (0.000, 0.305, 0.520) (multiplicity 4)
Th (0.000, 0.372, 0.819) (multiplicity 4)
Th (0.000, 0.389, 0.201) (multiplicity 4)
S (0.000, 0.001, 0.305) (multiplicity 4)
S (0.000, 0.139, 0.518) (multiplicity 4)
S (0.000, 0.191, 0.860) (multiplicity 4)
S (0.000, 0.209, 0.180) (multiplicity 4)
S (0.000, 0.457, 0.592) (multiplicity 4)

***

# 11
First-principles (PBE) data for an optimized crystal structure of KOsW, as listed in Alexandria.

Computed properties:
DOS at the Fermi energy: 16.070 states/eV/cell
calculated formation energy: 3632 meV/atom
excess energy over the best structure of this formula in the dataset: 8.071 eV per formula unit

Cell lengths 6.344, 6.344, 6.344 Å; angles 90.00, 90.00, 90.00 degrees
Space group F-43m (No. 216)
Symmetry-distinct sites (fractional):
K (0.000, 0.000, 0.000) (multiplicity 4)
Os (0.250, 0.250, 0.250) (multiplicity 4)
W (0.250, 0.250, 0.750) (multiplicity 4)

***

# 12
First-principles (PBE) data for an optimized crystal structure of Y2ZnRe, as listed in Alexandria.

Computed properties:
DOS at the Fermi energy: 17.899 states/eV/cell
calculated formation energy: 865 meV/atom

Cell lengths 4.411, 4.411, 19.383 Å; angles 90.00, 90.00, 90.00 degrees
Space group I-42d (No. 122)
Symmetry-distinct sites (fractional):
Y (0.239, 0.250, 0.125) (multiplicity 8)
Zn (0.000, 0.000, 0.500) (multiplicity 4)
Re (0.000, 0.000, 0.000) (multiplicity 4)

***

Summary of VASP energy in eV per atom
-6.373; -6.082; -3.606; -6.928; -5.634; -3.995; -7.448; -8.807; -1.673; -6.486; -4.795; -5.797
(order as listed above)
Summary of calculated volume in Å³/cell
724.12; 1152.29; 274.05; 121.03; 252.87; 125.38; 104.03; 512.54; 151.02; 766.15; 255.35; 377.06
(order as listed above)